# CdCuSbW2, PBEsol geometry, DFT meta-GGA SCAN
# formation energy from raw total energies: 2.569 eV/atom
# final energy: -41.88 eV per atom
data_CdCuSbW2
_cell_length_a 4.891
_cell_length_b 4.891
_cell_length_c 5.090
_cell_angle_alpha 90.00
_cell_angle_beta 90.00
_cell_angle_gamma 90.00
_space_group_name_H-M_alt 'P 4/m m m'
_space_group_IT_number 123
_space_group_name_Hall '-P 4 2'
loop_
_atom_site_label
_atom_site_type_symbol
_atom_site_fract_x
_atom_site_fract_y
_atom_site_fract_z
_atom_site_occupancy
Cd1 Cd 0.000 0.000 0.000 1
Cu1 Cu 0.500 0.500 0.000 1
Sb1 Sb 0.000 0.000 0.500 1
W1 W 0.000 0.500 0.500 1

# ScCdCu, PBEsol geometry, DFT meta-GGA SCAN
# formation energy from the elements: -0.2424 eV per atom
# final energy: -20.19 eV per atom
data_ScCdCu
_cell_length_a 3.167
_cell_length_b 3.167
_cell_length_c 10.532
_cell_angle_alpha 90.00
_cell_angle_beta 90.00
_cell_angle_gamma 90.00
_space_group_name_H-M_alt 'I 4 m m'
_space_group_IT_number 107
_space_group_name_Hall 'I 4 -2'
loop_
_atom_site_label
_atom_site_type_symbol
_atom_site_fract_x
_atom_site_fract_y
_atom_site_fract_z
_atom_site_occupancy
Sc1 Sc 0.000 0.000 0.000 1
Cd1 Cd 0.000 0.000 0.700 1
Cu1 Cu 0.000 0.000 0.348 1

# Cd2CuSe, PBEsol geometry, DFT meta-GGA SCAN
# formation energy from raw total energies: 0.125 eV/atom
# final energy: -23.90 eV per atom
data_Cd2CuSe
_cell_length_a 5.481
_cell_length_b 7.648
_cell_length_c 3.603
_cell_angle_alpha 90.00
_cell_angle_beta 90.00
_cell_angle_gamma 90.00
_space_group_name_H-M_alt 'C m m m'
_space_group_IT_number 65
_space_group_name_Hall '-C 2 2'
loop_
_atom_site_label
_atom_site_type_symbol
_atom_site_fract_x
_atom_site_fract_y
_atom_site_fract_z
_atom_site_occupancy
Cd1 Cd 0.250 0.250 0.000 1
Cu1 Cu 0.000 0.000 0.500 1
Se1 Se 0.000 0.500 0.500 1

# Cd2CuSe, PBEsol geometry, DFT meta-GGA SCAN
# formation energy from raw total energies: -0.019 eV/atom
# final energy: -24.05 eV per atom
data_Cd2CuSe
_cell_length_a 13.059
_cell_length_b 3.410
_cell_length_c 3.633
_cell_angle_alpha 90.00
_cell_angle_beta 105.77
_cell_angle_gamma 90.00
_space_group_name_H-M_alt 'C 1 2/m 1'
_space_group_IT_number 12
_space_group_name_Hall '-C 2y'
loop_
_atom_site_label
_atom_site_type_symbol
_atom_site_fract_x
_atom_site_fract_y
_atom_site_fract_z
_atom_site_occupancy
Cd1 Cd 0.187 0.000 0.188 1
Cu1 Cu 0.000 0.500 0.000 1
Se1 Se 0.000 0.000 0.500 1

# Cd2CuSe, PBEsol geometry, DFT meta-GGA SCAN
# formation energy from raw total energies: 0.192 eV/atom
# final energy: -23.83 eV per atom
data_Cd2CuSe
_cell_length_a 4.060
_cell_length_b 4.067
_cell_length_c 8.981
_cell_angle_alpha 90.00
_cell_angle_beta 90.00
_cell_angle_gamma 90.00
_space_group_name_H-M_alt 'I m m m'
_space_group_IT_number 71
_space_group_name_Hall '-I 2 2'
loop_
_atom_site_label
_atom_site_type_symbol
_atom_site_fract_x
_atom_site_fract_y
_atom_site_fract_z
_atom_site_occupancy
Cd1 Cd 0.000 0.000 0.249 1
Cu1 Cu 0.000 0.500 0.500 1
Se1 Se 0.000 0.500 0.000 1

# Cd2CuSe, PBEsol geometry, DFT meta-GGA SCAN
# formation energy from raw total energies: -0.013 eV/atom
# final energy: -24.04 eV per atom
data_Cd2CuSe
_cell_length_a 3.9524
_cell_length_b 3.9524
_cell_length_c 18.0036
_cell_angle_alpha 90.00
_cell_angle_beta 90.00
_cell_angle_gamma 120.00
_space_group_name_H-M_alt 'R -3 m'
_space_group_IT_number 166
_space_group_name_Hall '-R 3 2"'
loop_
_atom_site_label
_atom_site_type_symbol
_atom_site_fract_x
_atom_site_fract_y
_atom_site_fract_z
_atom_site_occupancy
Cd1 Cd 0.0000 0.0000 0.2413 1
Cu1 Cu 0.0000 0.0000 0.5000 1
Se1 Se 0.0000 0.0000 0.0000 1

# CdCuSe2, PBEsol geometry, DFT meta-GGA SCAN
# formation energy from raw total energies: -0.240 eV/atom
# final energy: -21.68 eV per atom
data_CdCuSe2
_cell_length_a 3.526
_cell_length_b 3.526
_cell_length_c 6.673
_cell_angle_alpha 90.00
_cell_angle_beta 90.00
_cell_angle_gamma 90.00
_space_group_name_H-M_alt 'P 4 m m'
_space_group_IT_number 99
_space_group_name_Hall 'P 4 -2'
loop_
_atom_site_label
_atom_site_type_symbol
_atom_site_fract_x
_atom_site_fract_y
_atom_site_fract_z
_atom_site_occupancy
Cd1 Cd 0.000 0.000 0.000 1
Cu1 Cu 0.500 0.500 0.531 1
Se1 Se 0.000 0.000 0.609 1
Se2 Se 0.500 0.500 0.167 1

# Cd2CuSe, PBEsol geometry, DFT meta-GGA SCAN
# formation energy from raw total energies: 0.002 eV/atom
# final energy: -24.02 eV per atom
data_Cd2CuSe
_cell_length_a 3.282
_cell_length_b 4.093
_cell_length_c 11.603
_cell_angle_alpha 90.00
_cell_angle_beta 90.00
_cell_angle_gamma 90.00
_space_group_name_H-M_alt 'I m m 2'
_space_group_IT_number 44
_space_group_name_Hall 'I 2 -2'
loop_
_atom_site_label
_atom_site_type_symbol
_atom_site_fract_x
_atom_site_fract_y
_atom_site_fract_z
_atom_site_occupancy
Cd1 Cd 0.000 0.000 0.000 1
Cd2 Cd 0.000 0.500 0.180 1
Cu1 Cu 0.000 0.500 0.710 1
Se1 Se 0.000 0.000 0.376 1

# Cd2CuSe, PBEsol geometry, DFT meta-GGA SCAN
# formation energy from raw total energies: 0.304 eV/atom
# final energy: -23.72 eV per atom
data_Cd2CuSe
_cell_length_a 6.742
_cell_length_b 6.742
_cell_length_c 6.742
_cell_angle_alpha 90.00
_cell_angle_beta 90.00
_cell_angle_gamma 90.00
_space_group_name_H-M_alt 'F -4 3 m'
_space_group_IT_number 216
_space_group_name_Hall 'F -4 2 3'
loop_
_atom_site_label
_atom_site_type_symbol
_atom_site_fract_x
_atom_site_fract_y
_atom_site_fract_z
_atom_site_occupancy
Cd1 Cd 0.000 0.000 0.000 1
Cd2 Cd 0.250 0.250 0.250 1
Cu1 Cu 0.000 0.000 0.500 1
Se1 Se 0.250 0.250 0.750 1

# CdCuSe2, PBEsol geometry, DFT meta-GGA SCAN
# formation energy from raw total energies: -0.369 eV/atom
# final energy: -21.81 eV per atom
data_CdCuSe2
_cell_length_a 5.775
_cell_length_b 5.775
_cell_length_c 11.308
_cell_angle_alpha 90.00
_cell_angle_beta 90.00
_cell_angle_gamma 90.00
_space_group_name_H-M_alt 'I -4 2 d'
_space_group_IT_number 122
_space_group_name_Hall 'I -4 2bw'
loop_
_atom_site_label
_atom_site_type_symbol
_atom_site_fract_x
_atom_site_fract_y
_atom_site_fract_z
_atom_site_occupancy
Cd1 Cd 0.000 0.000 0.000 1
Cu1 Cu 0.000 0.000 0.500 1
Se1 Se 0.209 0.250 0.625 1

# Cd2CuSe, PBEsol geometry, DFT meta-GGA SCAN
# formation energy from raw total energies: -0.078 eV/atom
# final energy: -24.10 eV per atom
data_Cd2CuSe
_cell_length_a 3.585
_cell_length_b 3.856
_cell_length_c 11.183
_cell_angle_alpha 90.00
_cell_angle_beta 90.00
_cell_angle_gamma 90.00
_space_group_name_H-M_alt 'A m m 2'
_space_group_IT_number 38
_space_group_name_Hall 'A 2 -2'
loop_
_atom_site_label
_atom_site_type_symbol
_atom_site_fract_x
_atom_site_fract_y
_atom_site_fract_z
_atom_site_occupancy
Cd1 Cd 0.000 0.000 0.000 1
Cd2 Cd 0.500 0.000 0.334 1
Cu1 Cu 0.000 0.000 0.767 1
Se1 Se 0.500 0.000 0.614 1

# CdCu2Se, PBEsol geometry, DFT meta-GGA SCAN
# formation energy from raw total energies: 0.246 eV/atom
# final energy: -19.98 eV per atom
data_CdCu2Se
_cell_length_a 6.331
_cell_length_b 6.331
_cell_length_c 6.331
_cell_angle_alpha 90.00
_cell_angle_beta 90.00
_cell_angle_gamma 90.00
_space_group_name_H-M_alt 'F m -3 m'
_space_group_IT_number 225
_space_group_name_Hall '-F 4 2 3'
loop_
_atom_site_label
_atom_site_type_symbol
_atom_site_fract_x
_atom_site_fract_y
_atom_site_fract_z
_atom_site_occupancy
Cd1 Cd 0.000 0.000 0.000 1
Cu1 Cu 0.250 0.250 0.250 1
Se1 Se 0.000 0.000 0.500 1

# Cd2CuSi, PBEsol geometry, DFT meta-GGA SCAN
# formation energy from raw total energies: 0.466 eV/atom
# final energy: -21.04 eV per atom
data_Cd2CuSi
_cell_length_a 6.528
_cell_length_b 6.528
_cell_length_c 6.528
_cell_angle_alpha 90.00
_cell_angle_beta 90.00
_cell_angle_gamma 90.00
_space_group_name_H-M_alt 'F -4 3 m'
_space_group_IT_number 216
_space_group_name_Hall 'F -4 2 3'
loop_
_atom_site_label
_atom_site_type_symbol
_atom_site_fract_x
_atom_site_fract_y
_atom_site_fract_z
_atom_site_occupancy
Cd1 Cd 0.000 0.000 0.000 1
Cd2 Cd 0.250 0.250 0.250 1
Cu1 Cu 0.250 0.250 0.750 1
Si1 Si 0.000 0.000 0.500 1

# CdCuSi, PBEsol geometry, DFT meta-GGA SCAN
# formation energy from raw total energies: 0.307 eV/atom
# E above lowest polymorph: 102 meV/atom
# final energy: -18.24 eV per atom
data_CdCuSi
_cell_length_a 2.685
_cell_length_b 3.469
_cell_length_c 10.361
_cell_angle_alpha 90.00
_cell_angle_beta 90.00
_cell_angle_gamma 90.00
_space_group_name_H-M_alt 'I m m 2'
_space_group_IT_number 44
_space_group_name_Hall 'I 2 -2'
loop_
_atom_site_label
_atom_site_type_symbol
_atom_site_fract_x
_atom_site_fract_y
_atom_site_fract_z
_atom_site_occupancy
Cd1 Cd 0.000 0.000 0.000 1
Cu1 Cu 0.000 0.000 0.682 1
Si1 Si 0.000 0.000 0.294 1

# CdCuSi2, PBEsol geometry, DFT meta-GGA SCAN
# formation energy from raw total energies: 0.342 eV/atom
# final energy: -16.07 eV per atom
data_CdCuSi2
_cell_length_a 2.632
_cell_length_b 3.343
_cell_length_c 7.275
_cell_angle_alpha 90.00
_cell_angle_beta 99.96
_cell_angle_gamma 90.00
_space_group_name_H-M_alt 'P 1 m 1'
_space_group_IT_number 6
_space_group_name_Hall 'P -2y'
loop_
_atom_site_label
_atom_site_type_symbol
_atom_site_fract_x
_atom_site_fract_y
_atom_site_fract_z
_atom_site_occupancy
Cd1 Cd 0.000 0.000 0.000 1
Cu1 Cu 0.627 0.500 0.267 1
Si1 Si 0.217 0.000 0.450 1
Si2 Si 0.353 0.500 0.706 1

# CdCuSi2, PBEsol geometry, DFT meta-GGA SCAN
# formation energy from raw total energies: 0.562 eV/atom
# final energy: -15.85 eV per atom
data_CdCuSi2
_cell_length_a 5.232
_cell_length_b 7.551
_cell_length_c 3.250
_cell_angle_alpha 90.00
_cell_angle_beta 90.00
_cell_angle_gamma 90.00
_space_group_name_H-M_alt 'C m m m'
_space_group_IT_number 65
_space_group_name_Hall '-C 2 2'
loop_
_atom_site_label
_atom_site_type_symbol
_atom_site_fract_x
_atom_site_fract_y
_atom_site_fract_z
_atom_site_occupancy
Cd1 Cd 0.000 0.000 0.000 1
Cu1 Cu 0.000 0.500 0.000 1
Si1 Si 0.250 0.250 0.500 1

# CdCuSi2, PBEsol geometry, DFT meta-GGA SCAN
# formation energy from raw total energies: 0.509 eV/atom
# final energy: -15.90 eV per atom
data_CdCuSi2
_cell_length_a 3.637
_cell_length_b 4.577
_cell_length_c 7.602
_cell_angle_alpha 90.00
_cell_angle_beta 90.00
_cell_angle_gamma 90.00
_space_group_name_H-M_alt 'I m m 2'
_space_group_IT_number 44
_space_group_name_Hall 'I 2 -2'
loop_
_atom_site_label
_atom_site_type_symbol
_atom_site_fract_x
_atom_site_fract_y
_atom_site_fract_z
_atom_site_occupancy
Cd1 Cd 0.000 0.000 0.000 1
Cu1 Cu 0.000 0.500 0.773 1
Si1 Si 0.000 0.000 0.497 1
Si2 Si 0.000 0.500 0.224 1

# CdCuSi, PBEsol geometry, DFT meta-GGA SCAN
# formation energy from raw total energies: 0.204 eV/atom
# E above lowest polymorph: 0 meV/atom
# final energy: -18.34 eV per atom
data_CdCuSi
_cell_length_a 5.872
_cell_length_b 5.872
_cell_length_c 5.872
_cell_angle_alpha 90.00
_cell_angle_beta 90.00
_cell_angle_gamma 90.00
_space_group_name_H-M_alt 'F -4 3 m'
_space_group_IT_number 216
_space_group_name_Hall 'F -4 2 3'
loop_
_atom_site_label
_atom_site_type_symbol
_atom_site_fract_x
_atom_site_fract_y
_atom_site_fract_z
_atom_site_occupancy
Cd1 Cd 0.000 0.000 0.000 1
Cu1 Cu 0.250 0.250 0.750 1
Si1 Si 0.000 0.000 0.500 1

# Cd2CuSi, PBEsol geometry, DFT meta-GGA SCAN
# formation energy from raw total energies: 0.348 eV/atom
# final energy: -21.16 eV per atom
data_Cd2CuSi
_cell_length_a 4.092
_cell_length_b 4.092
_cell_length_c 4.030
_cell_angle_alpha 90.00
_cell_angle_beta 90.00
_cell_angle_gamma 90.00
_space_group_name_H-M_alt 'P 4/m m m'
_space_group_IT_number 123
_space_group_name_Hall '-P 4 2'
loop_
_atom_site_label
_atom_site_type_symbol
_atom_site_fract_x
_atom_site_fract_y
_atom_site_fract_z
_atom_site_occupancy
Cd1 Cd 0.000 0.500 0.000 1
Cu1 Cu 0.000 0.000 0.500 1
Si1 Si 0.500 0.500 0.500 1

# CdCu2Si, PBEsol geometry, DFT meta-GGA SCAN
# formation energy from raw total energies: 0.243 eV/atom
# final energy: -17.46 eV per atom
data_CdCu2Si
_cell_length_a 3.766
_cell_length_b 3.766
_cell_length_c 7.955
_cell_angle_alpha 90.00
_cell_angle_beta 90.00
_cell_angle_gamma 90.00
_space_group_name_H-M_alt 'I -4 m 2'
_space_group_IT_number 119
_space_group_name_Hall 'I -4 -2'
loop_
_atom_site_label
_atom_site_type_symbol
_atom_site_fract_x
_atom_site_fract_y
_atom_site_fract_z
_atom_site_occupancy
Cd1 Cd 0.000 0.000 0.000 1
Cu1 Cu 0.000 0.000 0.500 1
Cu2 Cu 0.000 0.500 0.250 1
Si1 Si 0.000 0.500 0.750 1